Record 1
# La3Y

Crystalline La3Y at its relaxed geometry (GGA-PBEsol, the Alexandria database).

Computed properties:
As for the density: 6.242 Mg/m³. Its crystal system is orthorhombic. The calculation puts the total magnetization at 0.00 μB per formula unit. The energy of formation comes out at 0.04 eV/atom.

Geometry as extended XYZ:
```
4
Lattice="3.646 0.000 0.000 0.000 6.267 0.000 -1.823 -3.133 5.887" Properties=species:S:1:pos:R:3 pbc="T T T"
Y 0.000 4.151 0.000
La 0.000 0.018 2.932
La 1.823 1.035 0.000
La 1.823 3.152 2.955
```

***

Record 2
# NdBC

Crystalline NdBC at its relaxed geometry (GGA-PBEsol, the Alexandria database).

Computed properties:
As for the density: 6.505 Mg/m³. Its crystal system is orthorhombic. The calculation puts the total magnetization at 0.00 μB per formula unit. The energy of formation comes out at -0.39 eV/atom.

Geometry as extended XYZ:
```
60
Lattice="8.337 0.000 0.000 0.000 8.375 0.000 0.000 0.000 12.215" Properties=species:S:1:pos:R:3 pbc="T T T"
B 0.975 3.334 8.709
C 4.378 1.648 0.735
B 0.152 7.449 5.597
C 7.120 7.523 11.093
C 0.210 2.539 11.479
Nd 7.811 1.672 4.452
Nd 2.827 0.071 5.108
C 6.206 1.686 7.600
Nd 0.399 0.815 7.808
Nd 4.695 6.703 10.559
Nd 1.308 4.966 4.948
Nd 0.526 5.859 1.656
C 2.131 5.873 10.722
B 0.817 8.205 2.909
Nd 4.568 3.373 4.407
C 7.871 3.265 1.960
C 1.229 8.350 1.506
Nd 2.121 5.957 8.204
C 4.635 5.111 8.068
C 8.127 6.727 6.843
C 7.108 4.162 4.601
Nd 3.642 2.516 7.763
Nd 5.476 7.597 7.267
B 4.321 5.114 6.618
Nd 2.861 3.410 11.055
B 4.985 4.358 9.306
B 3.193 5.041 2.602
B 8.184 3.261 0.510
B 3.645 5.899 3.917
B 7.361 7.522 9.613
Nd 6.216 1.769 10.118
C 6.300 6.689 1.493
Nd 3.769 7.560 1.701
C 5.397 4.213 10.708
C 5.385 0.852 4.985
C 2.951 5.040 1.122
C 2.037 2.502 4.615
Nd 7.029 0.778 1.160
B 4.691 1.712 2.190
Nd 7.938 5.002 10.514
Nd 1.341 8.304 11.216
B 3.352 0.170 9.017
Nd 2.048 2.419 2.096
C 3.702 0.923 10.254
C 1.217 3.335 7.229
B 5.144 0.853 3.505
B 1.537 2.566 5.991
C 3.958 5.836 5.372
Nd 6.995 4.116 7.106
B 6.800 6.753 0.116
B 0.523 2.476 10.024
B 4.016 0.927 11.705
C 0.466 7.452 4.147
Nd 5.510 4.259 0.999
B 2.631 5.810 12.099
B 5.706 1.622 6.223
B 7.814 6.663 8.298
C 2.940 0.025 7.614
Nd 6.289 6.606 4.011
B 7.520 4.018 3.198
```

***

Record 3
# SmZnSn

Crystalline SmZnSn at its relaxed geometry (GGA-PBEsol, the Alexandria database).

Computed properties:
As for the density: 8.223 Mg/m³. Its crystal system is hexagonal. The calculation puts the total magnetization at 0.00 μB per formula unit. The energy of formation comes out at -0.61 eV/atom.

Geometry as extended XYZ:
```
6
Lattice="4.566 0.000 0.000 -2.283 3.954 0.000 0.000 0.000 7.482" Properties=species:S:1:pos:R:3 pbc="T T T"
Zn 2.283 1.318 1.870
Zn 0.000 2.636 5.611
Sn 2.283 1.318 5.611
Sn 0.000 2.636 1.870
Sm 0.000 0.000 3.741
Sm 0.000 0.000 0.000
```

***

Record 4
# YCrAs2

Crystalline YCrAs2 at its relaxed geometry (GGA-PBEsol, the Alexandria database).

Computed properties:
As for the density: 6.369 Mg/m³. Its crystal system is tetragonal. As for the energy above the most stable polymorph in this dataset: 0.375 eV per atom. The calculation puts the total magnetization at 3.99 μB per formula unit. The energy of formation comes out at -0.40 eV/atom.

Geometry as extended XYZ:
```
4
Lattice="-1.545 -1.367 2.913 0.807 -4.257 -1.569 4.075 -0.020 2.152" Properties=species:S:1:pos:R:3 pbc="T T T"
As 2.037 -0.010 1.076
As 0.404 -2.129 -0.785
Cr 1.669 -2.822 1.748
Y -0.773 -0.683 1.456
```

***

Record 5
# BaAg2Te

Crystalline BaAg2Te at its relaxed geometry (GGA-PBEsol, the Alexandria database).

Computed properties:
As for the density: 7.184 Mg/m³. Its crystal system is trigonal. The calculation puts the total magnetization at 0.00 μB per formula unit. The calculation puts the uncorrected formation energy at -326 meV per atom.

Geometry as extended XYZ:
```
4
Lattice="4.935 0.000 0.000 2.467 4.274 0.000 2.467 1.425 5.268" Properties=species:S:1:pos:R:3 pbc="T T T"
Ag 7.402 4.274 3.340
Te 4.935 2.849 2.634
Ag 2.467 1.425 1.929
Ba 0.000 0.000 0.000
```

***

Record 6
# LaTlPb2

Crystalline LaTlPb2 at its relaxed geometry (GGA-PBEsol, the Alexandria database).

Computed properties:
As for the density: 11.068 Mg/m³. Its crystal system is tetragonal. The calculation puts the total magnetization at 0.00 μB per formula unit. The energy of formation comes out at -0.39 eV/atom.

Geometry as extended XYZ:
```
4
Lattice="-0.474 4.707 0.275 -2.185 0.026 -4.204 -3.134 -2.951 4.281" Properties=species:S:1:pos:R:3 pbc="T T T"
Pb 0.000 0.000 0.000
Tl -1.330 2.366 -1.964
La -2.469 2.061 1.296
Pb -3.325 -0.280 -0.944
```